# 1
VGaRh2 | PBE | optimized geometry

a = 2.8316 Å, b = 2.8316 Å, c = 6.9191 Å
α = 90.00°, β = 90.00°, γ = 90.00°
With the nearest neighbours (Å) after each atom.
Positions (direct):
1 V 0.0000 0.0000 0.0000  8 Rh 2.66, 4 V 2.83
2 Ga 0.0000 0.0000 0.5000  8 Rh 2.63, 4 Ga 2.83
3 Rh 0.5000 0.5000 0.2534  4 Ga 2.63, 4 V 2.66, 4 Rh 2.83
4 Rh 0.5000 0.5000 0.7466  4 Ga 2.63, 4 V 2.66, 4 Rh 2.83

Calculated values
The formation enthalpy at 0 K is -0.54 eV per atom. For the volume, the calculation gives 55.5 Å³ per cell.


# 2
K5Na2Tl | PBE | optimized geometry

a = 7.6549 Å, b = 7.6549 Å, c = 25.0510 Å
α = 90.00°, β = 90.00°, γ = 143.65°
With the nearest neighbours (Å) after each atom.
Positions (direct):
1 K 0.0109 0.9891 0.7500  3 Tl 3.90-4.18, 4 Na 4.17
2 K 0.1389 0.8611 0.5437  2 Na 4.22, 8 K 4.35-4.71
3 K 0.1389 0.8611 0.9563  2 Na 4.22, 8 K 4.35-4.71
4 K 0.4107 0.5893 0.6157  1 Tl 3.74, 2 Na 4.07
5 K 0.4107 0.5893 0.8843  1 Tl 3.74, 2 Na 4.07
6 K 0.5893 0.4107 0.1157  1 Tl 3.74, 2 Na 4.07
7 K 0.5893 0.4107 0.3843  1 Tl 3.74, 2 Na 4.07
8 K 0.8611 0.1389 0.0437  2 Na 4.22, 8 K 4.35-4.71
9 K 0.8611 0.1389 0.4563  2 Na 4.22, 8 K 4.35-4.71
10 K 0.9891 0.0109 0.2500  3 Tl 3.90-4.18, 4 Na 4.17
11 Na 0.2906 0.7094 0.1767  2 Tl 3.28
12 Na 0.2906 0.7094 0.3233  2 Tl 3.28
13 Na 0.7094 0.2906 0.6767  2 Tl 3.28
14 Na 0.7094 0.2906 0.8233  2 Tl 3.28
15 Tl 0.2985 0.7015 0.7500  4 Na 3.28
16 Tl 0.7015 0.2985 0.2500  4 Na 3.28

Calculated values
The formation enthalpy at 0 K is -0.02 eV per atom. For the volume, the calculation gives 870.0 Å³ per cell.


# 3
NdHfPd2 | PBE | optimized geometry

a = 5.0325 Å, b = 5.0325 Å, c = 3.2777 Å
α = 90.00°, β = 90.00°, γ = 90.00°
With the nearest neighbours (Å) after each atom.
Positions (direct):
1 Nd 0.0000 0.0000 0.0000  8 Pd 3.00, 2 Nd 3.28
2 Hf 0.5000 0.5000 0.0000  8 Pd 3.00, 2 Hf 3.28
3 Pd 0.0000 0.5000 0.5000  4 Hf 3.00, 4 Nd 3.00, 2 Pd 3.28
4 Pd 0.5000 0.0000 0.5000  4 Hf 3.00, 4 Nd 3.00, 2 Pd 3.28

Calculated values
The formation enthalpy at 0 K is -0.58 eV per atom. The energy above the most stable polymorph in this dataset is 109.8 meV per atom. For the volume, the calculation gives 83.0 Å³ per cell.


# 4
V12Ge3Pd | PBE | optimized geometry

a = 4.7615 Å, b = 4.7740 Å, c = 9.5556 Å
α = 90.00°, β = 90.00°, γ = 90.00°
With the nearest neighbours (Å) after each atom.
Positions (direct):
1 V 0.0000 0.0000 0.1208  2 V 2.31-2.38
2 V 0.0000 0.0000 0.3696  2 V 2.38-2.49, 2 Ge 2.63
3 V 0.0000 0.0000 0.6304  2 V 2.38-2.49, 2 Ge 2.63
4 V 0.0000 0.0000 0.8792  2 V 2.31-2.38
5 V 0.2519 0.5000 0.2524  2 V 2.36-2.40
6 V 0.2519 0.5000 0.7476  2 V 2.36-2.40
7 V 0.5000 0.2477 0.5000  2 V 2.36-2.41
8 V 0.5000 0.2495 0.0000  2 V 2.38-2.39, 2 Pd 2.66
9 V 0.5000 0.7505 0.0000  2 V 2.38-2.39, 2 Pd 2.66
10 V 0.5000 0.7523 0.5000  2 V 2.36-2.41
11 V 0.7481 0.5000 0.2524  2 V 2.36-2.40
12 V 0.7481 0.5000 0.7476  2 V 2.36-2.40
13 Ge 0.0000 0.5000 0.5000  12 V 2.65-2.69
14 Ge 0.5000 0.0000 0.2519  12 V 2.63-2.69
15 Ge 0.5000 0.0000 0.7481  12 V 2.63-2.69
16 Pd 0.0000 0.5000 0.0000  12 V 2.65-2.69

Calculated values
The formation enthalpy at 0 K is -0.28 eV per atom. For the volume, the calculation gives 217.2 Å³ per cell.